This record from Alexandria via LeMat-Bulk describes a relaxed Ba2CaRu crystal. The functional is PBE-GGA.

a = 5.6523 Å, b = 5.6523 Å, c = 5.6523 Å
α = 60.00°, β = 60.00°, γ = 60.00°
With the nearest neighbours (Å) after each atom.
Sites, in units of the cell vectors:
Ru: 0.7500 0.7500 0.7500  4 Ca 3.46, 4 Ba 3.46
Ca: 0.5000 0.5000 0.5000  4 Ru 3.46, 4 Ba 3.46
Ba: 0.0000 0.0000 0.0000  4 Ba 3.46, 4 Ru 3.46
Ba: 0.2500 0.2500 0.2500  4 Ba 3.46, 4 Ca 3.46

Properties
Polymorph energy (0 for the lowest one), meV per atom: 266
Space-group type: F-43m, No. 216
Energy relative to the elements, eV/atom: 0.5338
Magnetization, μB per atom: 0.00